Material: LaTlNiOs2
Method: DFT, PBE
State: relaxed

Summary:
formation enthalpy at 0 K: 2088 meV per atom
density of states at the Fermi level: 5.8 states/eV per cell

Cell: 5.0247 5.0247 4.7331 Å, 90.00 90.00 90.00°
With the nearest neighbours (Å) after each atom.
Space group P4/mmm (No. 123)
Inequivalent atoms, fractional coordinates:
La 0.0000 0.0000 0.0000  2 Ni 2.37, 4 Os 2.51
Tl 0.5000 0.5000 0.5000  8 Os 3.45, 4 Ni 3.55
Ni 0.0000 0.0000 0.5000  2 La 2.37
Os 0.0000 0.5000 0.0000  2 La 2.51